A relaxed structure of LiCrSe3. Source: Alexandria via LeMat-Bulk, functional GGA-PBE.

Lattice parameters (Å, degrees): 6.483 6.483 6.483 59.91 59.91 59.91
Last column: magnetic moment on the atom in μB.
Fractional positions:
Se (0.710, 0.052, 0.414)  -0.26
Se (0.914, 0.552, 0.210)  -0.27
Se (0.414, 0.710, 0.052)  -0.25
Se (0.552, 0.210, 0.914)  -0.26
Se (0.052, 0.414, 0.710)  -0.27
Se (0.210, 0.914, 0.552)  -0.25
Cr (0.311, 0.311, 0.311)  2.23
Cr (0.811, 0.811, 0.811)  2.26
Li (0.994, 0.994, 0.994)  0.00
Li (0.494, 0.494, 0.494)  0.00

Properties
mass density	5.11	g/cm3
electronic total energy	-4.893	eV/atom
E_form (uncorrected)	-0.4946	eV/atom
spin magnetization	0.260	μB per atom